# 1
! PBE SrInICl4, relaxed; values from VASP
&SYSTEM
  ibrav = 0, nat = 14, ntyp = 4
/
ATOMIC_SPECIES
Sr 87.62 Sr.upf
In 114.82 In.upf
I 126.90 I.upf
Cl 35.45 Cl.upf
CELL_PARAMETERS angstrom
6.366 -4.615 0.000
6.366 4.615 0.000
-2.182 0.000 9.662
ATOMIC_POSITIONS crystal
Sr 0.183 0.183 0.040
Sr 0.817 0.817 0.960
In 0.376 0.376 0.739
In 0.624 0.624 0.261
I 0.010 0.010 0.228
I 0.990 0.990 0.772
Cl 0.093 0.475 0.845
Cl 0.327 0.327 0.500
Cl 0.435 0.435 0.161
Cl 0.475 0.093 0.845
Cl 0.525 0.907 0.155
Cl 0.565 0.565 0.839
Cl 0.673 0.673 0.500
Cl 0.907 0.525 0.155
! Formation energy (no corrections)   -1.4453 eV per atom
! Final energy   -3.35 eV/atom
! Symmetry   No. 12
! Fermi-level density of states   0.00 states/eV/f.u.
! V   40.6 Å³/atom

***

# 2
! PBE In3CBr, relaxed; values from VASP
&SYSTEM
  ibrav = 0, nat = 5, ntyp = 3
/
ATOMIC_SPECIES
In 114.82 In.upf
C 12.01 C.upf
Br 79.90 Br.upf
CELL_PARAMETERS angstrom
4.982 0.000 0.000
0.000 4.982 0.000
0.000 0.000 4.982
ATOMIC_POSITIONS crystal
In 0.000 0.000 0.500
In 0.000 0.500 0.000
In 0.500 0.000 0.000
C 0.000 0.000 0.000
Br 0.500 0.500 0.500
! Formation energy (no corrections)   0.5792 eV per atom
! Distance to the lowest polymorph of the same formula   0.000 eV/atom
! Final energy   -3.24 eV/atom
! Symmetry   No. 221
! Fermi-level density of states   1.55 states/eV/f.u.
! V   24.7 Å³/atom

***

# 3
! PBE CsH3Os, relaxed; values from VASP
&SYSTEM
  ibrav = 0, nat = 5, ntyp = 3
/
ATOMIC_SPECIES
Cs 132.91 Cs.upf
H 1.01 H.upf
Os 190.23 Os.upf
CELL_PARAMETERS angstrom
3.985 0.000 0.000
0.000 3.985 0.000
0.000 0.000 3.985
ATOMIC_POSITIONS crystal
Cs 0.000 0.000 0.000
H 0.000 0.500 0.500
H 0.500 0.000 0.500
H 0.500 0.500 0.000
Os 0.500 0.500 0.500
! Distance to the lowest polymorph of the same formula   0.000 eV/atom
! Final energy   -3.80 eV/atom
! Symmetry   No. 221
! Fermi-level density of states   5.37 states/eV/f.u.
! V   12.7 Å³/atom